Record 1
Density functional theory data (PBE) for an optimized crystal structure of Ca2AgF.

```
Ca2AgF
1.0
-4.549 -1.796 -1.509
-4.073 3.099 -0.089
-1.983 1.492 -4.476
Ca Ag F
2 1 1
Direct
0.250 0.250 0.250
0.750 0.750 0.750
0.500 0.500 0.500
0.000 0.000 0.000
```

Calculated volume   95 Å³/cell
E_form (uncorrected)   -1.06 eV/atom
DFT total energy   -12.96 eV/f.u.

=====

Record 2
Density functional theory data (PBE) for an optimized crystal structure of AcZnSn.

```
AcZnSn
1.0
-1.251 4.381 -1.072
-3.049 -1.621 -3.063
-1.280 0.706 4.378
Zn Ac Sn
1 1 1
Direct
0.162 0.000 0.000
0.668 0.667 0.333
0.170 0.333 0.667
```

DFT formation energy   -0.586 eV per atom
Calculated volume   86 Å³/cell
DFT total energy   -11.14 eV/f.u.

=====

Record 3
Density functional theory data (PBE) for an optimized crystal structure of CuTeP2S.

```
CuTeP2S
1.0
4.572 0.000 0.000
0.000 4.572 0.000
0.000 0.000 4.525
P S Te Cu
2 1 1 1
Direct
0.000 0.500 0.000
0.500 0.000 0.000
0.000 0.000 0.500
0.500 0.500 0.500
0.000 0.000 0.000
```

Calculated volume   95 Å³/cell
E_form (uncorrected)   0.70 eV/atom
DFT total energy   -18.71 eV/f.u.

=====

Record 4
Density functional theory data (PBE) for an optimized crystal structure of TiRe3Tc.

```
TiRe3Tc
1.0
4.631 0.000 0.000
0.000 4.631 0.000
0.000 0.000 4.631
Re Tc Ti
3 1 1
Direct
0.000 0.500 0.000
0.000 0.000 0.500
0.500 0.000 0.000
0.000 0.000 0.000
0.500 0.500 0.500
```

DFT formation energy   1.787 eV per atom
Calculated volume   99 Å³/cell
DFT total energy   -46.67 eV/f.u.

=====

Record 5
Density functional theory data (PBE) for an optimized crystal structure of BaLaZr2.

```
BaLaZr2
1.0
-5.010 -1.624 -1.143
-4.590 -1.749 2.217
-2.974 7.213 0.641
Ba La Zr
1 1 2
Direct
0.503 0.503 0.473
0.741 0.741 0.807
0.996 0.996 0.051
0.259 0.259 0.170
```

DFT formation energy   0.378 eV per atom
Calculated volume   135 Å³/cell
DFT total energy   -22.43 eV/f.u.

=====

Record 6
Density functional theory data (PBE) for an optimized crystal structure of CuRe2W.

```
CuRe2W
1.0
2.788 0.000 0.000
0.000 2.788 0.000
0.000 0.000 7.584
Cu Re W
1 2 1
Direct
0.500 0.500 0.753
0.000 0.000 0.999
0.500 0.500 0.239
0.000 0.000 0.509
```

DFT formation energy   0.291 eV per atom
Calculated volume   59 Å³/cell
DFT total energy   -40.78 eV/f.u.

=====

Record 7
Density functional theory data (PBE) for an optimized crystal structure of TbBeAl2Pt4.

```
TbBeAl2Pt4
1.0
-0.951 -1.569 3.817
0.725 -4.084 0.851
7.661 0.057 4.281
Tb Be Al Pt
1 1 2 4
Direct
0.000 0.000 0.000
0.500 0.500 0.500
0.760 0.760 0.721
0.240 0.240 0.279
0.406 0.406 0.782
0.863 0.863 0.410
0.137 0.137 0.590
0.594 0.594 0.218
```

DFT formation energy   -1.034 eV per atom
Calculated volume   131 Å³/cell
DFT total energy   -48.28 eV/f.u.

=====

Record 8
Density functional theory data (PBE) for an optimized crystal structure of Ac2PrZn2In2.

```
Ac2PrZn2In2
1.0
4.787 0.000 0.000
2.393 4.145 0.000
2.393 1.382 10.749
Ac Pr Zn In
2 1 2 2
Direct
0.122 0.122 0.633
0.878 0.878 0.367
0.000 0.000 0.000
0.617 0.617 0.150
0.383 0.383 0.850
0.725 0.725 0.825
0.275 0.275 0.175
```

DFT formation energy   -0.288 eV per atom
Calculated volume   213 Å³/cell
DFT total energy   -23.04 eV/f.u.

=====

Record 9
Density functional theory data (PBE) for an optimized crystal structure of Rb3Er2ThSe6.

```
Rb3Er2ThSe6
1.0
7.329 -0.002 0.000
-3.664 6.348 0.000
-1.222 -2.117 8.042
Rb Er Th Se
3 2 1 6
Direct
0.166 0.834 0.500
0.834 0.166 0.500
0.500 0.500 0.500
0.333 0.667 0.000
0.667 0.333 0.000
0.000 0.000 0.000
0.934 0.595 0.802
0.727 0.727 0.198
0.066 0.405 0.198
0.595 0.934 0.802
0.273 0.273 0.802
0.405 0.066 0.198
```

Calculated volume   374 Å³/cell
E_form (uncorrected)   -1.65 eV/atom
DFT total energy   -60.17 eV/f.u.

=====

Record 10
Density functional theory data (PBE) for an optimized crystal structure of HfIn3Pd6.

```
HfIn3Pd6
1.0
-4.298 0.567 -1.887
-3.037 -6.576 3.113
-0.533 7.232 6.851
Hf In Pd
2 6 12
Direct
0.285 0.938 0.617
0.715 0.062 0.383
0.250 0.526 0.393
0.750 0.474 0.607
0.262 0.349 0.806
0.738 0.651 0.194
0.225 0.768 0.999
0.775 0.232 0.001
0.255 0.450 0.096
0.745 0.550 0.904
0.245 0.143 0.215
0.755 0.857 0.785
0.258 0.646 0.702
0.742 0.354 0.298
0.220 0.232 0.513
0.780 0.768 0.487
0.226 0.848 0.320
0.774 0.152 0.680
0.269 0.056 0.904
0.731 0.944 0.096
```

DFT formation energy   -0.580 eV per atom
Calculated volume   349 Å³/cell
DFT total energy   -55.12 eV/f.u.

=====

Record 11
Density functional theory data (PBE) for an optimized crystal structure of RbTl.

```
RbTl
1.0
7.027 0.000 0.000
0.000 19.202 0.000
0.000 0.000 10.867
Rb Tl
16 16
Direct
0.000 0.000 0.670
0.000 0.000 0.330
0.250 0.750 0.580
0.250 0.750 0.920
0.000 0.500 0.170
0.000 0.500 0.830
0.250 0.250 0.080
0.250 0.250 0.420
0.500 0.000 0.170
0.500 0.000 0.830
0.750 0.750 0.080
0.750 0.750 0.420
0.500 0.500 0.670
0.500 0.500 0.330
0.750 0.250 0.580
0.750 0.250 0.920
0.000 0.082 0.000
0.000 0.918 0.000
0.250 0.668 0.250
0.250 0.832 0.250
0.000 0.582 0.500
0.000 0.418 0.500
0.250 0.168 0.750
0.250 0.332 0.750
0.500 0.082 0.500
0.500 0.918 0.500
0.750 0.668 0.750
0.750 0.832 0.750
0.500 0.582 0.000
0.500 0.418 0.000
0.750 0.168 0.250
0.750 0.332 0.250
```

DFT formation energy   0.000 eV per atom
Calculated volume   1466 Å³/cell
DFT total energy   -3.33 eV/f.u.

=====

Record 12
Density functional theory data (PBE) for an optimized crystal structure of Si2AsF.

```
Si2AsF
1.0
0.000 3.126 3.126
3.126 0.000 3.126
3.126 3.126 0.000
As Si F
1 2 1
Direct
0.500 0.500 0.500
0.250 0.250 0.250
0.750 0.750 0.750
0.000 0.000 0.000
```

Calculated volume   61 Å³/cell
E_form (uncorrected)   -0.13 eV/atom
DFT total energy   -17.90 eV/f.u.